No. 1
Here is YTa2Re after structural relaxation from the Alexandria database. Energies are from GGA-PBE.

abc: 4.495 3.039 5.840
angles: 77.82 90.00 90.00
Fractional coordinates of all 4 atoms:
Ta (0.000, 0.961, 0.965)
Ta (0.000, 0.539, 0.535)
Re (0.500, 0.750, 0.750)
Y (0.500, 0.250, 0.250)

Summary:
ΔE_f	214.3	meV per atom
total moment	0.000	μB per atom
space-group type	P2/m (10)
distance to the lowest polymorph of the same formula	11.7	kJ per mole of atoms

---

No. 2
Here is YTa2Re after structural relaxation from the Alexandria database. Energies are from GGA-PBE.

abc: 4.754 4.754 4.754
angles: 119.99 119.99 90.03
Fractional coordinates of all 4 atoms:
Y (0.500, 0.500, 0.000)
Re (0.750, 0.250, 0.500)
Ta (0.000, 0.000, 0.000)
Ta (0.250, 0.750, 0.500)

Summary:
ΔE_f	297.7	meV per atom
total moment	0.000	μB per atom
space-group type	F-43m (216)
distance to the lowest polymorph of the same formula	19.8	kJ per mole of atoms

---

Looking at DFT total energy for the records above, in order, we have -41.760; -41.427 eV per cell.